(1)
First-principles (PBE) data for a relaxed La5YTm crystal, as listed in Alexandria via LeMat-Bulk.

Cell and atoms, written as POSCAR:
```
La5YTm
1.0
3.132 -8.883 0.000
3.132 8.883 0.000
-1.783 0.000 9.023
La Y Tm
10 2 2
Direct
0.018 0.389 0.648
0.139 0.861 0.750
0.243 0.544 0.034
0.389 0.018 0.148
0.456 0.757 0.466
0.544 0.243 0.534
0.611 0.982 0.852
0.757 0.456 0.966
0.861 0.139 0.250
0.982 0.611 0.352
0.000 0.000 0.000
0.000 0.000 0.500
0.490 0.510 0.750
0.510 0.490 0.250
```

- ΔE to the lowest computed polymorph (meV per atom) = 34.9
- space group = C2/c (15)


(2)
First-principles (PBE) data for a relaxed La12YTm7 crystal, as listed in Alexandria via LeMat-Bulk.

Cell and atoms, written as POSCAR:
```
La12YTm7
1.0
9.777 5.645 2.115
-9.777 5.645 2.115
0.000 -11.290 2.115
La Y Tm
12 1 7
Direct
0.001 0.409 0.593
0.074 0.074 0.428
0.074 0.428 0.074
0.407 0.999 0.591
0.409 0.593 0.001
0.428 0.074 0.074
0.572 0.926 0.926
0.591 0.407 0.999
0.593 0.001 0.409
0.926 0.572 0.926
0.926 0.926 0.572
0.999 0.591 0.407
0.500 0.500 0.500
0.000 0.000 0.000
0.138 0.385 0.385
0.385 0.138 0.385
0.385 0.385 0.138
0.615 0.615 0.862
0.615 0.862 0.615
0.862 0.615 0.615
```

- ΔE to the lowest computed polymorph (meV per atom) = 3.2
- space group = R-3 (148)


(3)
First-principles (PBE) data for a relaxed La3YTm crystal, as listed in Alexandria via LeMat-Bulk.

Cell and atoms, written as POSCAR:
```
La3YTm
1.0
7.840 -6.865 0.000
7.840 6.865 0.000
0.000 0.000 6.527
La Y Tm
12 4 4
Direct
0.042 0.752 0.750
0.043 0.458 0.750
0.248 0.958 0.750
0.253 0.538 0.250
0.458 0.043 0.250
0.462 0.747 0.250
0.538 0.253 0.750
0.542 0.957 0.750
0.747 0.462 0.750
0.752 0.042 0.250
0.957 0.542 0.250
0.958 0.248 0.250
0.090 0.910 0.250
0.409 0.591 0.750
0.591 0.409 0.250
0.910 0.090 0.750
0.246 0.246 0.000
0.246 0.246 0.500
0.754 0.754 0.000
0.754 0.754 0.500
```

- ΔE to the lowest computed polymorph (meV per atom) = 29.1
- space group = Cmcm (63)


(4)
First-principles (PBE) data for a relaxed La3YTm6 crystal, as listed in Alexandria via LeMat-Bulk.

Cell and atoms, written as POSCAR:
```
La3YTm6
1.0
4.939 2.852 3.853
-4.939 2.852 3.853
0.000 -5.703 3.853
La Y Tm
3 1 6
Direct
0.000 0.000 0.000
0.248 0.248 0.248
0.495 0.495 0.495
0.748 0.748 0.748
0.170 0.502 0.823
0.324 0.992 0.671
0.502 0.823 0.170
0.671 0.324 0.992
0.823 0.170 0.502
0.992 0.671 0.324
```

- ΔE to the lowest computed polymorph (meV per atom) = 75.9
- space group = R3 (146)


(5)
First-principles (PBE) data for a relaxed La4YTm crystal, as listed in Alexandria via LeMat-Bulk.

Cell and atoms, written as POSCAR:
```
La4YTm
1.0
5.755 -3.019 0.000
5.755 3.019 0.000
-3.779 0.000 6.052
La Y Tm
4 1 1
Direct
0.158 0.158 0.008
0.172 0.172 0.529
0.828 0.828 0.471
0.842 0.842 0.992
0.500 0.500 0.500
0.500 0.500 0.000
```

- ΔE to the lowest computed polymorph (meV per atom) = 39.5
- space group = C2/m (12)


(6)
First-principles (PBE) data for a relaxed La4YTm5 crystal, as listed in Alexandria via LeMat-Bulk.

Cell and atoms, written as POSCAR:
```
La4YTm5
1.0
8.537 -1.759 0.000
8.537 1.759 0.000
-0.058 0.000 11.465
La Y Tm
4 1 5
Direct
0.035 0.035 0.248
0.335 0.335 0.250
0.665 0.665 0.750
0.965 0.965 0.752
0.500 0.500 0.500
0.172 0.172 0.044
0.173 0.173 0.453
0.500 0.500 0.000
0.827 0.827 0.547
0.828 0.828 0.956
```

- ΔE to the lowest computed polymorph (meV per atom) = 0.0
- space group = C2/m (12)


(7)
First-principles (PBE) data for a relaxed La12YTm5 crystal, as listed in Alexandria via LeMat-Bulk.

Cell and atoms, written as POSCAR:
```
La12YTm5
1.0
9.519 -5.432 0.000
9.519 5.432 0.000
-2.089 0.000 6.009
La Y Tm
12 1 5
Direct
0.005 0.662 0.166
0.162 0.504 0.666
0.169 0.831 0.000
0.328 0.672 0.500
0.338 0.995 0.834
0.496 0.838 0.334
0.504 0.162 0.666
0.662 0.005 0.166
0.672 0.328 0.500
0.831 0.169 0.000
0.838 0.496 0.334
0.995 0.338 0.834
0.500 0.500 0.000
0.000 0.000 0.500
0.167 0.167 0.334
0.333 0.333 0.168
0.667 0.667 0.832
0.833 0.833 0.666
```

- space group = C2/m (12)


(8)
First-principles (PBE) data for a relaxed La2YTm6 crystal, as listed in Alexandria via LeMat-Bulk.

Cell and atoms, written as POSCAR:
```
La2YTm6
1.0
6.686 -5.866 0.000
6.686 5.866 0.000
-5.297 0.000 7.369
La Y Tm
4 2 12
Direct
0.100 0.281 0.436
0.281 0.100 0.936
0.719 0.900 0.064
0.900 0.719 0.564
0.330 0.670 0.750
0.670 0.330 0.250
0.096 0.831 0.039
0.109 0.436 0.861
0.169 0.904 0.461
0.312 0.496 0.316
0.436 0.109 0.361
0.496 0.312 0.816
0.504 0.688 0.184
0.564 0.891 0.639
0.688 0.504 0.684
0.831 0.096 0.539
0.891 0.564 0.139
0.904 0.169 0.961
```

- ΔE to the lowest computed polymorph (meV per atom) = 0.0
- space group = C2/c (15)


no.,uncorrected energy (eV/f.u.),Fermi-level density of states (states/eV/f.u.)
1,-34.40,11.1
2,-92.89,28.3
3,-24.75,6.1
4,-44.97,22.0
5,-30.03,11.4
6,-46.51,14.6
7,-87.61,24.3
8,-42.46,12.2